Entry 1:
Material: Np2PaSb
Method: DFT, PBE
State: optimized geometry

Values from the calculation:
Uncorrected formation energy in meV/atom: -42
Final energy in eV/cell: -39.7
Relative energy among the computed polymorphs in meV/atom: 0
Magnetization in μB per atom: 2.048

CIF file:
```
data_Np2PaSb
_chemical_formula_sum 'Np2 Pa1 Sb1'
_cell_length_a 4.577
_cell_length_b 4.577
_cell_length_c 4.528
_cell_angle_alpha 90.00
_cell_angle_beta 90.00
_cell_angle_gamma 90.00
_space_group_name_H-M_alt 'P 4/m m m'
_space_group_IT_number 123
_space_group_name_Hall '-P 4 2'
loop_
_atom_site_label
_atom_site_type_symbol
_atom_site_fract_x
_atom_site_fract_y
_atom_site_fract_z
_atom_site_occupancy
Np1 Np 0.000 0.500 0.000 1
Pa1 Pa 0.000 0.000 0.500 1
Sb1 Sb 0.500 0.500 0.500 1
```

Entry 2:
Material: NpPa3Sb4
Method: DFT, PBE
State: optimized geometry

Values from the calculation:
Uncorrected formation energy in meV/atom: -384
Final energy in eV/cell: -122.0
Magnetization in μB per atom: 0.470

CIF file:
```
data_NpPa3Sb4
_chemical_formula_sum 'Np2 Pa6 Sb8'
_cell_length_a 7.557
_cell_length_b 8.749
_cell_length_c 7.569
_cell_angle_alpha 90.00
_cell_angle_beta 109.54
_cell_angle_gamma 90.00
_space_group_name_H-M_alt 'P 1 2/c 1'
_space_group_IT_number 13
loop_
_space_group_symop_operation_xyz
'x,y,z'
'-x,-y,-z'
'-x,y,-z+1/2'
'x,-y,z+1/2'
loop_
_atom_site_label
_atom_site_type_symbol
_atom_site_fract_x
_atom_site_fract_y
_atom_site_fract_z
_atom_site_occupancy
Np1 Np 0.000 0.124 0.250 1
Pa1 Pa 0.000 0.376 0.750 1
Pa2 Pa 0.500 0.124 0.750 1
Pa3 Pa 0.500 0.375 0.250 1
Sb1 Sb 0.250 0.126 0.000 1
Sb2 Sb 0.251 0.375 0.501 1
```

Entry 3:
Material: NpPaSb2
Method: DFT, PBE
State: optimized geometry

Values from the calculation:
Uncorrected formation energy in meV/atom: -300
Final energy in eV/cell: -127.5
Relative energy among the computed polymorphs in meV/atom: 34
Magnetization in μB per atom: 1.473

CIF file:
```
data_NpPaSb2
_chemical_formula_sum 'Np4 Pa4 Sb8'
_cell_length_a 7.494
_cell_length_b 7.494
_cell_length_c 7.494
_cell_angle_alpha 90.00
_cell_angle_beta 90.00
_cell_angle_gamma 90.00
_space_group_name_H-M_alt 'F m -3 m'
_space_group_IT_number 225
_space_group_name_Hall '-F 4 2 3'
loop_
_atom_site_label
_atom_site_type_symbol
_atom_site_fract_x
_atom_site_fract_y
_atom_site_fract_z
_atom_site_occupancy
Np1 Np 0.000 0.000 0.000 1
Pa1 Pa 0.000 0.000 0.500 1
Sb1 Sb 0.250 0.250 0.250 1
```

Entry 4:
Material: NpPa2Sb
Method: DFT, PBE
State: optimized geometry

Values from the calculation:
Uncorrected formation energy in meV/atom: 33
Final energy in eV/cell: -107.8
Relative energy among the computed polymorphs in meV/atom: 221
Magnetization in μB per atom: 0.000

CIF file:
```
data_NpPa2Sb
_chemical_formula_sum 'Np3 Pa6 Sb3'
_cell_length_a 3.7347
_cell_length_b 3.7347
_cell_length_c 23.1948
_cell_angle_alpha 90.00
_cell_angle_beta 90.00
_cell_angle_gamma 120.00
_space_group_name_H-M_alt 'R -3 m'
_space_group_IT_number 166
_space_group_name_Hall '-R 3 2"'
loop_
_atom_site_label
_atom_site_type_symbol
_atom_site_fract_x
_atom_site_fract_y
_atom_site_fract_z
_atom_site_occupancy
Np1 Np 0.0000 0.0000 0.0000 1
Pa1 Pa 0.0000 0.0000 0.2648 1
Sb1 Sb 0.0000 0.0000 0.5000 1
```

Entry 5:
Material: Np2PaSb
Method: DFT, PBE
State: optimized geometry

Values from the calculation:
Uncorrected formation energy in meV/atom: 260
Final energy in eV/cell: -115.4
Relative energy among the computed polymorphs in meV/atom: 302
Magnetization in μB per atom: 2.073

CIF file:
```
data_Np2PaSb
_chemical_formula_sum 'Np6 Pa3 Sb3'
_cell_length_a 3.3028
_cell_length_b 3.3028
_cell_length_c 31.1907
_cell_angle_alpha 90.00
_cell_angle_beta 90.00
_cell_angle_gamma 120.00
_space_group_name_H-M_alt 'R -3 m'
_space_group_IT_number 166
_space_group_name_Hall '-R 3 2"'
loop_
_atom_site_label
_atom_site_type_symbol
_atom_site_fract_x
_atom_site_fract_y
_atom_site_fract_z
_atom_site_occupancy
Np1 Np 0.0000 0.0000 0.2481 1
Pa1 Pa 0.0000 0.0000 0.5000 1
Sb1 Sb 0.0000 0.0000 0.0000 1
```

Entry 6:
Material: NpPaSb2
Method: DFT, PBE
State: optimized geometry

Values from the calculation:
Uncorrected formation energy in meV/atom: -335
Final energy in eV/cell: -96.1
Relative energy among the computed polymorphs in meV/atom: 0
Magnetization in μB per atom: 1.278

CIF file:
```
data_NpPaSb2
_chemical_formula_sum 'Np3 Pa3 Sb6'
_cell_length_a 4.4177
_cell_length_b 4.4177
_cell_length_c 21.1753
_cell_angle_alpha 90.00
_cell_angle_beta 90.00
_cell_angle_gamma 120.00
_space_group_name_H-M_alt 'R -3 m'
_space_group_IT_number 166
_space_group_name_Hall '-R 3 2"'
loop_
_atom_site_label
_atom_site_type_symbol
_atom_site_fract_x
_atom_site_fract_y
_atom_site_fract_z
_atom_site_occupancy
Np1 Np 0.0000 0.0000 0.0000 1
Pa1 Pa 0.0000 0.0000 0.5000 1
Sb1 Sb 0.0000 0.0000 0.2495 1
```

Q: What is the magnetization in the sixth record?
A: 1.278 μB per atom

Q: Which of these has the highest final energy?
A: number 1

Q: Number 5 is which compound?
A: Np2PaSb

Q: Which value of magnetization does entry 5 give?
A: 2.073 μB per atom